1.
Material: BC2
Method: DFT, PBE
State: relaxed

abc: 5.877 5.877 5.348
angles: 105.17 105.17 25.50
Sites, in units of the cell vectors:
B1 0.061 0.061 0.197
B2 0.307 0.307 0.527
B3 0.693 0.693 0.473
B4 0.939 0.939 0.803
C1 0.040 0.040 0.647
C2 0.291 0.291 0.023
C3 0.372 0.372 0.834
C4 0.379 0.379 0.305
C5 0.621 0.621 0.695
C6 0.628 0.628 0.166
C7 0.709 0.709 0.977
C8 0.960 0.960 0.353

Results
Fermi-level density of states, states/eV/atom: 0.164
Energy of formation, eV/atom: 0.29
Relative energy among the computed polymorphs, kJ per mole of atoms: 5.1
Volume, Å³/cell: 76.6
Theoretical density, kg/m3: 3020

---

2.
Material: TmPd3
Method: DFT, PBE
State: relaxed

abc: 6.559 6.559 6.559
angles: 90.00 90.00 90.00
Sites, in units of the cell vectors:
Tm1 0.000 0.000 0.000
Tm2 0.000 0.500 0.500
Tm3 0.500 0.000 0.500
Tm4 0.500 0.500 0.000
Pd1 0.000 0.000 0.500
Pd2 0.000 0.500 0.000
Pd3 0.250 0.250 0.250
Pd4 0.250 0.250 0.750
Pd5 0.250 0.750 0.250
Pd6 0.250 0.750 0.750
Pd7 0.500 0.000 0.000
Pd8 0.500 0.500 0.500
Pd9 0.750 0.250 0.250
Pd10 0.750 0.250 0.750
Pd11 0.750 0.750 0.250
Pd12 0.750 0.750 0.750

Results
Fermi-level density of states, states/eV/atom: 0.332
Energy of formation, eV/atom: -0.76
Volume, Å³/cell: 282.2
Theoretical density, kg/m3: 11492

---

3.
Material: TlRe2C
Method: DFT, PBE
State: relaxed

abc: 5.001 5.001 12.140
angles: 90.00 90.00 90.00
Sites, in units of the cell vectors:
Tl1 0.000 0.000 0.000
Tl2 0.000 0.500 0.250
Tl3 0.500 0.000 0.750
Tl4 0.500 0.500 0.500
Re1 0.081 0.250 0.625
Re2 0.250 0.581 0.875
Re3 0.250 0.919 0.375
Re4 0.419 0.250 0.125
Re5 0.581 0.750 0.125
Re6 0.750 0.081 0.375
Re7 0.750 0.419 0.875
Re8 0.919 0.750 0.625
C1 0.000 0.000 0.500
C2 0.000 0.500 0.750
C3 0.500 0.000 0.250
C4 0.500 0.500 0.000

Results
Fermi-level density of states, states/eV/atom: 1.078
Energy of formation, eV/atom: 1.28
Relative energy among the computed polymorphs, kJ per mole of atoms: 0.0
Volume, Å³/cell: 303.6
Theoretical density, kg/m3: 12883

---

4.
Material: TbCeTc
Method: DFT, PBE
State: relaxed

abc: 6.791 6.791 6.791
angles: 90.00 90.00 90.00
Sites, in units of the cell vectors:
Tb1 0.000 0.000 0.000
Tb2 0.000 0.500 0.500
Tb3 0.500 0.000 0.500
Tb4 0.500 0.500 0.000
Ce1 0.000 0.000 0.500
Ce2 0.000 0.500 0.000
Ce3 0.500 0.000 0.000
Ce4 0.500 0.500 0.500
Tc1 0.250 0.250 0.250
Tc2 0.250 0.750 0.750
Tc3 0.750 0.250 0.750
Tc4 0.750 0.750 0.250

Results
Fermi-level density of states, states/eV/atom: 1.040
Energy of formation, eV/atom: 0.09
Relative energy among the computed polymorphs, kJ per mole of atoms: 16.2
Volume, Å³/cell: 313.2
Theoretical density, kg/m3: 8420

---

5.
Material: Pm2SiAgO6
Method: DFT, PBE
State: relaxed

abc: 5.387 5.387 4.646
angles: 90.00 90.00 90.00
Sites, in units of the cell vectors:
Pm1 0.000 0.500 0.000
Pm2 0.500 0.000 0.000
Si1 0.000 0.000 0.589
Ag1 0.500 0.500 0.563
O1 0.000 0.000 0.232
O2 0.219 0.219 0.705
O3 0.219 0.781 0.705
O4 0.500 0.500 0.095
O5 0.781 0.219 0.705
O6 0.781 0.781 0.705

Results
Fermi-level density of states, states/eV/atom: 0.249
Uncorrected formation energy, meV per atom: -2368
Volume, Å³/cell: 134.8
Theoretical density, kg/m3: 6430

---

6.
Material: HfNb2As
Method: DFT, PBE
State: relaxed

abc: 3.567 10.074 8.238
angles: 90.00 90.00 90.00
Sites, in units of the cell vectors:
Hf1 0.000 0.039 0.250
Hf2 0.000 0.961 0.750
Hf3 0.500 0.461 0.750
Hf4 0.500 0.539 0.250
Nb1 0.000 0.355 0.052
Nb2 0.000 0.355 0.448
Nb3 0.000 0.645 0.552
Nb4 0.000 0.645 0.948
Nb5 0.500 0.145 0.552
Nb6 0.500 0.145 0.948
Nb7 0.500 0.855 0.052
Nb8 0.500 0.855 0.448
As1 0.000 0.247 0.750
As2 0.000 0.753 0.250
As3 0.500 0.253 0.250
As4 0.500 0.747 0.750

Results
Fermi-level density of states, states/eV/atom: 0.454
Energy of formation, eV/atom: -0.56
Volume, Å³/cell: 296.0
Theoretical density, kg/m3: 9856

---

7.
Material: PrHo2Zn2Ga2
Method: DFT, PBE
State: relaxed

abc: 9.652 9.652 9.652
angles: 26.81 26.81 26.81
Sites, in units of the cell vectors:
Pr1 0.000 0.000 0.000
Ho1 0.128 0.128 0.128
Ho2 0.872 0.872 0.872
Zn1 0.405 0.405 0.405
Zn2 0.595 0.595 0.595
Ga1 0.257 0.257 0.257
Ga2 0.743 0.743 0.743

Results
Fermi-level density of states, states/eV/atom: 0.560
Energy of formation, eV/atom: -0.40
Volume, Å³/cell: 161.3
Theoretical density, kg/m3: 7627

---

8.
Material: CdSbP4
Method: DFT, PBE
State: relaxed

abc: 5.877 5.877 5.877
angles: 60.00 60.00 60.00
Sites, in units of the cell vectors:
Cd1 0.000 0.000 0.000
Sb1 0.250 0.250 0.250
P1 0.035 0.655 0.655
P2 0.655 0.035 0.655
P3 0.655 0.655 0.035
P4 0.655 0.655 0.655

Results
Fermi-level density of states, states/eV/atom: 0.418
Uncorrected formation energy, meV per atom: 491
Volume, Å³/cell: 143.5
Theoretical density, kg/m3: 4142

---

9.
Material: Si2Te3
Method: DFT, PBE
State: relaxed

abc: 3.958 3.958 30.710
angles: 90.00 90.00 120.00
Sites, in units of the cell vectors:
Si1 0.000 0.000 0.110
Si2 0.000 0.000 0.890
Si3 0.333 0.667 0.557
Si4 0.333 0.667 0.777
Si5 0.667 0.333 0.223
Si6 0.667 0.333 0.443
Te1 0.000 0.000 0.272
Te2 0.000 0.000 0.500
Te3 0.000 0.000 0.728
Te4 0.333 0.667 0.167
Te5 0.333 0.667 0.395
Te6 0.333 0.667 0.938
Te7 0.667 0.333 0.062
Te8 0.667 0.333 0.605
Te9 0.667 0.333 0.833

Results
Fermi-level density of states, states/eV/atom: 0.391
Uncorrected formation energy, meV per atom: 75
Volume, Å³/cell: 416.6
Theoretical density, kg/m3: 5249

---

10.
Material: Dy8Ho6Pb
Method: DFT, PBE
State: relaxed

abc: 9.131 9.131 6.731
angles: 90.00 90.00 120.00
Sites, in units of the cell vectors:
Dy1 0.016 0.328 0.387
Dy2 0.313 0.984 0.387
Dy3 0.328 0.313 0.613
Dy4 0.333 0.667 0.693
Dy5 0.667 0.333 0.307
Dy6 0.672 0.687 0.387
Dy7 0.687 0.016 0.613
Dy8 0.984 0.672 0.613
Ho1 0.077 0.681 0.105
Ho2 0.319 0.396 0.105
Ho3 0.396 0.077 0.895
Ho4 0.604 0.923 0.105
Ho5 0.681 0.604 0.895
Ho6 0.923 0.319 0.895
Pb1 0.000 0.000 0.000

Results
Fermi-level density of states, states/eV/atom: 1.356
Energy of formation, eV/atom: 0.18
Volume, Å³/cell: 486.0
Theoretical density, kg/m3: 8530

---

11.
Material: Ni3HgMo
Method: DFT, PBE
State: relaxed

abc: 4.529 4.529 4.529
angles: 90.00 90.00 90.00
Sites, in units of the cell vectors:
Ni1 0.000 0.000 0.500
Ni2 0.000 0.500 0.000
Ni3 0.500 0.000 0.000
Hg1 0.500 0.500 0.500
Mo1 0.000 0.000 0.000

Results
Fermi-level density of states, states/eV/atom: 1.242
Energy of formation, eV/atom: 1.26
Relative energy among the computed polymorphs, kJ per mole of atoms: 0.0
Volume, Å³/cell: 92.9
Theoretical density, kg/m3: 8446

---

12.
Material: CaCdGaSe2
Method: DFT, PBE
State: relaxed

abc: 5.080 5.080 5.615
angles: 90.00 90.00 90.00
Sites, in units of the cell vectors:
Ca1 0.000 0.000 0.000
Cd1 0.500 0.500 0.000
Ga1 0.000 0.000 0.500
Se1 0.000 0.500 0.500
Se2 0.500 0.000 0.500

Results
Fermi-level density of states, states/eV/atom: 0.855
Uncorrected formation energy, meV per atom: -101
Volume, Å³/cell: 144.9
Theoretical density, kg/m3: 4356